{"formula": "TlCo2W", "functional": "PBE", "state": "optimized geometry", "cell": [[3.080, 0.000, 0.000], [0.000, 3.117, 0.000], [-0.032, 0.000, 6.294]], "species": ["Tl", "Co", "Co", "W"], "frac_coords": [[0.000, 0.000, 0.000], [0.498, 0.500, 0.299], [0.502, 0.500, 0.701], [0.000, 0.000, 0.500]], "space_group": "P2/m (10)", "de_polymorph_ev_per_fu": 0.00, "formation_energy_mev_per_atom": 352, "final_energy_ev_per_atom": -7.03}

=====

{"formula": "In2RuCl", "functional": "PBE", "state": "optimized geometry", "cell": [[3.251, 0.000, 0.000], [0.000, 3.251, 0.000], [0.000, 0.000, 7.771]], "species": ["In", "In", "Ru", "Cl"], "frac_coords": [[0.000, 0.000, 0.204], [0.000, 0.000, 0.796], [0.500, 0.500, 0.000], [0.500, 0.500, 0.500]], "space_group": "P4/mmm (123)", "de_polymorph_ev_per_fu": 0.65, "e_form_raw_kj_per_mol_atoms": -12.40, "final_energy_ev_per_atom": -4.28}

=====

{"formula": "La3Nd2DyHo6", "functional": "PBE", "state": "optimized geometry", "cell": [[3.132, -5.426, 0.000], [3.132, 5.426, 0.000], [-2.085, 0.000, 11.661]], "species": ["La", "La", "La", "Nd", "Nd", "Dy", "Ho", "Ho", "Ho", "Ho", "Ho", "Ho"], "frac_coords": [[0.000, 0.000, 0.000], [0.333, 0.667, 0.000], [0.667, 0.333, 0.000], [0.166, 0.834, 0.500], [0.834, 0.166, 0.500], [0.500, 0.500, 0.500], [0.085, 0.418, 0.253], [0.250, 0.250, 0.747], [0.418, 0.085, 0.253], [0.582, 0.915, 0.747], [0.750, 0.750, 0.253], [0.915, 0.582, 0.747]], "space_group": "C2/m (12)", "formation_energy_mev_per_atom": 16, "final_energy_ev_per_atom": -4.68}